1.
Entry from the Alexandria database: a relaxed LiSeCl4 crystal (GGA-PBE).

Structure (extended XYZ):
```
6
Lattice="0.000 4.309 4.309 4.309 0.000 4.309 4.309 4.309 0.000" Properties=species:S:1:pos:R:3 pbc="T T T"
Li 0.000 0.000 0.000
Se 6.464 6.464 6.464
Cl 3.230 3.230 3.230
Cl 5.388 5.388 3.230
Cl 5.388 3.230 5.388
Cl 3.230 5.388 5.388
```

Calculated values
Spin magnetization in μB per cell: 5.03
ΔE_f (raw) in eV per formula unit: 2.1
DOS at the Fermi energy in states/eV per atom: 1.01
Polymorph energy (0 for the lowest one) in meV/atom: 1076
E_tot in eV per atom: -1.787


2.
Entry from the Alexandria database: a relaxed LiSe3Cl crystal (GGA-PBE).

Structure (extended XYZ):
```
5
Lattice="4.721 0.000 0.000 0.000 4.721 0.000 0.000 0.000 4.721" Properties=species:S:1:pos:R:3 pbc="T T T"
Li 0.000 0.000 0.000
Se 0.000 0.000 2.360
Se 0.000 2.360 0.000
Se 2.360 0.000 0.000
Cl 2.360 2.360 2.360
```

Calculated values
Spin magnetization in μB per cell: 0.00
ΔE_f (raw) in eV per formula unit: 1.9
DOS at the Fermi energy in states/eV per atom: 1.25
Polymorph energy (0 for the lowest one) in meV/atom: 0
E_tot in eV per atom: -2.453


3.
Entry from the Alexandria database: a relaxed Li2SeCl crystal (GGA-PBE).

Structure (extended XYZ):
```
8
Lattice="3.760 0.000 0.000 0.000 5.339 0.000 0.000 0.000 7.194" Properties=species:S:1:pos:R:3 pbc="T T T"
Li 0.000 0.000 1.632
Li 0.000 0.000 5.562
Li 1.880 2.670 1.632
Li 1.880 2.670 5.562
Se 0.000 2.670 3.597
Se 1.880 0.000 3.597
Cl 0.000 2.670 0.000
Cl 1.880 0.000 0.000
```

Calculated values
Spin magnetization in μB per cell: 0.00
ΔE_f (raw) in eV per formula unit: -4.5
DOS at the Fermi energy in states/eV per atom: 0.27
Polymorph energy (0 for the lowest one) in meV/atom: 95
E_tot in eV per atom: -3.427


4.
Entry from the Alexandria database: a relaxed Li2SeCl crystal (GGA-PBE).

Structure (extended XYZ):
```
8
Lattice="3.208 0.000 0.000 0.000 3.287 0.000 0.000 0.000 13.803" Properties=species:S:1:pos:R:3 pbc="T T T"
Li 0.000 0.000 0.000
Li 0.000 1.643 3.072
Li 1.604 0.000 9.974
Li 1.604 1.643 6.902
Se 0.000 1.643 11.526
Se 1.604 0.000 4.624
Cl 0.000 0.000 8.027
Cl 1.604 1.643 1.125
```

Calculated values
Spin magnetization in μB per cell: 0.00
ΔE_f (raw) in eV per formula unit: -4.8
DOS at the Fermi energy in states/eV per atom: 0.17
Polymorph energy (0 for the lowest one) in meV/atom: 25
E_tot in eV per atom: -3.497


5.
Entry from the Alexandria database: a relaxed Li2SeCl crystal (GGA-PBE).

Structure (extended XYZ):
```
4
Lattice="3.566 0.000 0.000 0.000 3.118 0.000 -0.030 0.000 6.982" Properties=species:S:1:pos:R:3 pbc="T T T"
Li 0.031 0.000 1.755
Li 3.505 0.000 5.227
Se 1.783 1.559 0.000
Cl -0.015 1.559 3.491
```

Calculated values
Spin magnetization in μB per cell: 0.00
ΔE_f (raw) in eV per formula unit: -4.7
DOS at the Fermi energy in states/eV per atom: 0.19
Polymorph energy (0 for the lowest one) in meV/atom: 52
E_tot in eV per atom: -3.471


6.
Entry from the Alexandria database: a relaxed LiSeCl4 crystal (GGA-PBE).

Structure (extended XYZ):
```
24
Lattice="6.075 0.000 0.000 0.000 15.335 0.000 -5.227 0.000 9.535" Properties=species:S:1:pos:R:3 pbc="T T T"
Li -1.085 0.196 4.591
Li -3.698 7.471 9.359
Li 4.546 7.864 0.176
Li 1.933 15.139 4.944
Se 1.445 9.651 2.634
Se -1.168 13.351 7.402
Se 2.017 1.984 2.133
Se -0.597 5.684 6.901
Cl 0.245 9.441 0.302
Cl -2.368 13.561 5.070
Cl 1.107 1.769 0.120
Cl -1.506 5.899 4.887
Cl -0.027 11.208 3.240
Cl -2.641 11.795 8.007
Cl -1.995 7.761 7.719
Cl 0.618 15.242 2.952
Cl 0.230 0.093 6.583
Cl 2.844 7.574 1.816
Cl 3.489 3.540 1.528
Cl 0.876 4.127 6.295
Cl 2.354 9.436 4.648
Cl -0.259 13.566 9.415
Cl 3.216 1.774 4.465
Cl 0.603 5.893 9.232
```

Calculated values
Spin magnetization in μB per cell: 4.00
ΔE_f (raw) in eV per formula unit: -4.4
Polymorph energy (0 for the lowest one) in meV/atom: 0
E_tot in eV per atom: -2.862